Record 1
Entry from Alexandria: a relaxed YGa2Ru2 crystal (GGA-PBEsol).

Calculated values
Magnetic moment = 0.0 μB per cell
Formation enthalpy at 0 K = -0.35 eV/atom

Cell lengths 4.179, 4.179, 5.843 Å; angles 110.95, 110.95, 90.00 degrees
Fractional coordinates of all 5 atoms:
Ga: 0.250 0.750 0.500
Ga: 0.750 0.250 0.500
Ru: 0.385 0.385 0.769
Y: 0.000 0.000 0.000
Ru: 0.615 0.615 0.231



Record 2
Entry from Alexandria: a relaxed Li2VO3 crystal (GGA-PBEsol).

Calculated values
ΔE_f (raw) = -2.31 eV/atom
Magnetic moment = 0.7 μB per cell

Cell lengths 2.767, 5.880, 6.447 Å; angles 103.91, 102.39, 90.00 degrees
Fractional coordinates of all 12 atoms:
O: 0.988 0.741 0.977
Li: 0.500 0.500 0.000
V: 0.154 0.324 0.308
Li: 0.165 0.841 0.330
O: 0.674 0.571 0.348
O: 0.669 0.103 0.337
V: 0.846 0.676 0.692
Li: 0.835 0.159 0.670
Li: 0.500 0.000 0.000
O: 0.331 0.897 0.663
O: 0.326 0.429 0.652
O: 0.012 0.259 0.023



Record 3
Entry from Alexandria: a relaxed Na2SiHg crystal (GGA-PBEsol).

Calculated values
ΔE_f (raw) = 0.16 eV/atom
Magnetic moment = 0.0 μB per cell

Cell lengths 4.957, 4.957, 4.957 Å; angles 60.00, 60.00, 60.00 degrees
Fractional coordinates of all 4 atoms:
Si: 0.000 0.000 0.000
Hg: 0.500 0.500 0.500
Na: 0.250 0.250 0.250
Na: 0.750 0.750 0.750



Record 4
Entry from Alexandria: a relaxed La3ScO crystal (GGA-PBEsol).

Calculated values
ΔE_f (raw) = -1.17 eV/atom
Magnetic moment = 0.0 μB per cell

Cell lengths 5.034, 5.034, 5.034 Å; angles 90.00, 90.00, 90.00 degrees
Fractional coordinates of all 5 atoms:
La: 0.000 0.500 0.000
O: 0.000 0.000 0.000
Sc: 0.500 0.500 0.500
La: 0.500 0.000 0.000
La: 0.000 0.000 0.500



Record 5
Entry from Alexandria: a relaxed Mn2RuPt crystal (GGA-PBEsol).

Calculated values
Magnetic moment = 0.4 μB per cell
Formation enthalpy at 0 K = 0.01 eV/atom

Cell lengths 2.639, 4.543, 4.507 Å; angles 100.65, 90.00, 106.88 degrees
Fractional coordinates of all 4 atoms:
Mn: 0.998 0.995 0.004
Pt: 0.501 0.003 0.509
Ru: 0.744 0.488 0.224
Mn: 0.257 0.514 0.762



Record 6
Entry from Alexandria: a relaxed CaBeRu4 crystal (GGA-PBEsol).

Calculated values
Magnetic moment = 1.6 μB per cell
Formation enthalpy at 0 K = 0.51 eV/atom

Cell lengths 5.095, 5.095, 5.095 Å; angles 60.00, 60.00, 60.00 degrees
Fractional coordinates of all 6 atoms:
Ca: 0.000 0.000 0.000
Ru: 0.376 0.376 0.376
Ru: 0.376 0.873 0.376
Ru: 0.873 0.376 0.376
Ru: 0.376 0.376 0.873
Be: 0.750 0.750 0.750



Record 7
Entry from Alexandria: a relaxed Co2MoAu crystal (GGA-PBEsol).

Calculated values
Magnetic moment = 1.5 μB per cell
Formation enthalpy at 0 K = 0.19 eV/atom

Cell lengths 2.673, 3.714, 5.284 Å; angles 90.00, 90.00, 90.00 degrees
Fractional coordinates of all 4 atoms:
Mo: 0.000 0.000 0.462
Co: 0.500 0.500 0.247
Au: 0.500 0.500 0.763
Co: 0.000 0.000 0.028



Record 8
Entry from Alexandria: a relaxed Cu2H2W crystal (GGA-PBEsol).

Calculated values
Calculated total energy = -5.431 eV per atom
Magnetic moment = 0.0 μB per cell

Cell lengths 2.677, 2.677, 6.548 Å; angles 101.79, 101.79, 90.00 degrees
Fractional coordinates of all 5 atoms:
H: 0.750 0.250 0.500
H: 0.250 0.750 0.500
Cu: 0.658 0.658 0.317
Cu: 0.342 0.342 0.683
W: 0.000 0.000 0.000